Record 1
The following is a DFT calculation (SCAN) of a crystal of Hf2ZrInC relaxed with PBEsol.

a b c (Å): 4.9900 4.9900 5.3847
angles (deg): 90.00 90.00 90.00
With the nearest neighbours (Å) after each atom.
Positions (direct):
Hf 0.0000 0.5000 0.0000  2 Zr 2.50
Hf 0.5000 0.0000 0.0000  2 Zr 2.50
Zr 0.0000 0.0000 0.0000  4 Hf 2.50, 2 In 2.69
In 0.0000 0.0000 0.5000  2 Zr 2.69
C 0.5000 0.5000 0.5000  4 In 3.53, 8 Hf 3.67

The density of states at the Fermi level comes out at 0.5839 states/eV/atom. The calculation puts the total magnetization at 1.51 μB per cell. The energy of formation is 224.9 kJ/mol of atoms.


Record 2
The following is a DFT calculation (SCAN) of a crystal of PrAl8Co2 relaxed with PBEsol.

a b c (Å): 12.3800 14.2853 3.9753
angles (deg): 90.00 90.00 90.00
With the nearest neighbours (Å) after each atom.
Positions (direct):
Pr 0.1592 0.1812 0.0000  13 Al 3.12-3.32
Pr 0.3408 0.6812 0.0000  13 Al 3.12-3.32
Pr 0.6592 0.3188 0.0000  13 Al 3.12-3.32
Pr 0.8408 0.8188 0.0000  13 Al 3.12-3.32
Al 0.0000 0.0000 0.0000  2 Co 2.33
Al 0.0000 0.5000 0.5000  4 Co 2.44, 4 Al 2.62
Al 0.0262 0.8681 0.5000  2 Co 2.57, 7 Al 2.66-2.85
Al 0.0468 0.3210 0.5000  2 Co 2.54, 5 Al 2.62-2.84
Al 0.0962 0.7473 0.0000  2 Co 2.31-2.34
Al 0.1590 0.6207 0.5000  2 Co 2.54, 5 Al 2.62-2.80
Al 0.1596 0.4558 0.0000  3 Co 2.45-2.51
Al 0.1688 0.0080 0.5000  2 Co 2.49, 3 Al 2.67-2.70
Al 0.2362 0.8280 0.5000  2 Co 2.49, 3 Al 2.66-2.70
Al 0.2638 0.3280 0.5000  2 Co 2.49, 3 Al 2.66-2.70
Al 0.3312 0.5080 0.5000  2 Co 2.49, 3 Al 2.67-2.70
Al 0.3404 0.9558 0.0000  3 Co 2.45-2.51
Al 0.3410 0.1207 0.5000  2 Co 2.54, 5 Al 2.62-2.80
Al 0.4038 0.2473 0.0000  2 Co 2.31-2.34
Al 0.4532 0.8210 0.5000  2 Co 2.54, 5 Al 2.62-2.84
Al 0.4738 0.3681 0.5000  2 Co 2.57, 7 Al 2.66-2.85
Al 0.5000 0.0000 0.5000  4 Co 2.44, 4 Al 2.62
Al 0.5000 0.5000 0.0000  2 Co 2.33
Al 0.5262 0.6319 0.5000  2 Co 2.57, 7 Al 2.66-2.85
Al 0.5468 0.1790 0.5000  2 Co 2.54, 5 Al 2.62-2.84
Al 0.5962 0.7527 0.0000  2 Co 2.31-2.34
Al 0.6590 0.8793 0.5000  2 Co 2.54, 5 Al 2.62-2.80
Al 0.6596 0.0442 0.0000  3 Co 2.45-2.51
Al 0.6688 0.4920 0.5000  2 Co 2.49, 3 Al 2.67-2.70
Al 0.7362 0.6720 0.5000  2 Co 2.49, 3 Al 2.66-2.70
Al 0.7638 0.1720 0.5000  2 Co 2.49, 3 Al 2.66-2.70
Al 0.8312 0.9920 0.5000  2 Co 2.49, 3 Al 2.67-2.70
Al 0.8404 0.5442 0.0000  3 Co 2.45-2.51
Al 0.8410 0.3793 0.5000  2 Co 2.54, 5 Al 2.62-2.80
Al 0.9038 0.2527 0.0000  2 Co 2.31-2.34
Al 0.9532 0.6790 0.5000  2 Co 2.54, 5 Al 2.62-2.84
Al 0.9738 0.1319 0.5000  2 Co 2.57, 7 Al 2.66-2.85
Co 0.0347 0.5943 0.0000  9 Al 2.31-2.54
Co 0.1517 0.9038 0.0000  9 Al 2.33-2.57
Co 0.3483 0.4038 0.0000  9 Al 2.33-2.57
Co 0.4653 0.0943 0.0000  9 Al 2.31-2.54
Co 0.5347 0.9057 0.0000  9 Al 2.31-2.54
Co 0.6517 0.5962 0.0000  9 Al 2.33-2.57
Co 0.8483 0.0962 0.0000  9 Al 2.33-2.57
Co 0.9653 0.4057 0.0000  9 Al 2.31-2.54

The density of states at the Fermi level comes out at 0.3311 states/eV/atom. The calculation puts the total magnetization at 0.00 μB per cell. The energy of formation is -45.5 kJ/mol of atoms.


Record 3
The following is a DFT calculation (SCAN) of a crystal of LiHNO2 relaxed with PBEsol.

a b c (Å): 2.9841 2.9841 4.3612
angles (deg): 90.00 90.00 90.00
With the nearest neighbours (Å) after each atom.
Positions (direct):
Li 0.0000 0.0000 0.0000  4 N 2.11
H 0.5000 0.5000 0.5000  4 O 1.49
N 0.5000 0.5000 0.0000  4 Li 2.11, 2 H 2.18
O 0.0000 0.5000 0.5000  2 H 1.49
O 0.5000 0.0000 0.5000  2 H 1.49

The density of states at the Fermi level comes out at 0.2473 states/eV/atom. Its raw total energy is -4.56 eV per atom. The calculation puts the total magnetization at 3.25 μB per cell.


Record 4
The following is a DFT calculation (SCAN) of a crystal of Li2PrTl relaxed with PBEsol.

a b c (Å): 4.9053 4.9053 4.9053
angles (deg): 60.00 60.00 60.00
With the nearest neighbours (Å) after each atom.
Positions (direct):
Li 0.2500 0.2500 0.2500  4 Tl 3.00, 4 Pr 3.00
Li 0.7500 0.7500 0.7500  4 Tl 3.00, 4 Pr 3.00
Pr 0.0000 0.0000 0.0000  8 Li 3.00
Tl 0.5000 0.5000 0.5000  8 Li 3.00

The density of states at the Fermi level comes out at 0.1735 states/eV/atom. The calculation puts the total magnetization at 0.00 μB per cell. The energy of formation is -40.1 kJ/mol of atoms.


Record 5
The following is a DFT calculation (SCAN) of a crystal of CaIn2S4 relaxed with PBEsol.

a b c (Å): 7.7619 7.7619 7.7619
angles (deg): 120.69 118.73 90.52
With the nearest neighbours (Å) after each atom.
Positions (direct):
Ca 0.5000 0.0000 0.0000  6 S 2.72-2.76
Ca 0.5000 0.5000 0.5000  6 S 2.72-2.76
In 0.0000 0.0000 0.0000  6 S 2.59-2.67
In 0.1119 0.3619 0.7500  4 S 2.45-2.53
In 0.5000 0.0000 0.5000  6 S 2.59-2.67
In 0.8881 0.6381 0.2500  4 S 2.45-2.53
S 0.2443 0.2371 0.0071  2 In 2.45-2.59, 2 Ca 2.72
S 0.2475 0.2312 0.4837  3 In 2.53-2.67, 1 Ca 2.76
S 0.2475 0.7639 0.0163  3 In 2.53-2.67, 1 Ca 2.76
S 0.2700 0.7629 0.5071  2 In 2.45-2.59, 2 Ca 2.72
S 0.7300 0.2371 0.4929  2 In 2.45-2.59, 2 Ca 2.72
S 0.7525 0.2361 0.9837  3 In 2.53-2.67, 1 Ca 2.76
S 0.7525 0.7688 0.5163  3 In 2.53-2.67, 1 Ca 2.76
S 0.7557 0.7629 0.9929  2 In 2.45-2.59, 2 Ca 2.72

For the uncorrected formation energy, the calculation gives -1148 meV/atom. The calculation puts the total magnetization at 0.00 μB per cell.


Record 6
The following is a DFT calculation (SCAN) of a crystal of ZnInW relaxed with PBEsol.

a b c (Å): 5.3089 5.3089 5.3089
angles (deg): 148.87 139.01 52.35
With the nearest neighbours (Å) after each atom.
Positions (direct):
Zn 0.0000 0.0000 0.0000  4 W 2.67, 2 Zn 2.85, 4 In 2.90
In 0.6798 0.6798 0.0000  2 In 2.85, 5 Zn 2.90-3.05, 5 W 2.93-3.00
W 0.3647 0.3647 0.0000  4 Zn 2.67, 2 W 2.85, 4 In 2.93

The density of states at the Fermi level comes out at 0.4471 states/eV/atom. Its offset from the most stable computed form is 0.000 eV/atom. The calculation puts the total magnetization at 0.00 μB per cell. The energy of formation is 56.2 kJ/mol of atoms.